1.
{"formula": "BaHfTl2Cl8", "functional": "PBE", "state": "optimized geometry", "formation_energy_uncorrected_ev_per_atom": -1.73, "m_tot_mub_per_fu": 0.0, "space_group": "P-1, No. 2", "lattice_angstrom": [[6.9048, 0.0000, 0.0000], [0.2695, 7.2226, 0.0000], [0.0079, 0.0149, 8.8460]], "species": ["Ba", "Hf", "Tl", "Tl", "Cl", "Cl", "Cl", "Cl", "Cl", "Cl", "Cl", "Cl"], "fractional_positions": [[0.0000, 0.0000, 0.0000], [0.0000, 0.0000, 0.5000], [0.5000, 0.4996, 0.2591], [0.5000, 0.5004, 0.7409], [0.1243, 0.2061, 0.2987], [0.1255, 0.2054, 0.7007], [0.3044, 0.8221, 0.4993], [0.3481, 0.7323, 0.0001], [0.6519, 0.2677, 0.9999], [0.6956, 0.1779, 0.5007], [0.8745, 0.7946, 0.2993], [0.8757, 0.7939, 0.7013]]}


2.
{"formula": "SbRuAu2", "functional": "PBE", "state": "optimized geometry", "formation_energy_uncorrected_ev_per_atom": 0.29, "m_tot_mub_per_fu": 0.6, "space_group": "F-43m, No. 216", "lattice_angstrom": [[6.6255, 0.0000, 0.0000], [0.0000, 6.6255, 0.0000], [0.0000, 0.0000, 6.6255]], "species": ["Sb", "Sb", "Sb", "Sb", "Ru", "Ru", "Ru", "Ru", "Au", "Au", "Au", "Au", "Au", "Au", "Au", "Au"], "fractional_positions": [[0.0000, 0.0000, 0.0000], [0.0000, 0.5000, 0.5000], [0.5000, 0.0000, 0.5000], [0.5000, 0.5000, 0.0000], [0.2500, 0.2500, 0.7500], [0.2500, 0.7500, 0.2500], [0.7500, 0.2500, 0.2500], [0.7500, 0.7500, 0.7500], [0.0000, 0.0000, 0.5000], [0.0000, 0.5000, 0.0000], [0.2500, 0.2500, 0.2500], [0.2500, 0.7500, 0.7500], [0.5000, 0.0000, 0.0000], [0.5000, 0.5000, 0.5000], [0.7500, 0.2500, 0.7500], [0.7500, 0.7500, 0.2500]]}


3.
{"formula": "TbTl3Bi2Se6", "functional": "PBE", "state": "optimized geometry", "formation_energy_uncorrected_ev_per_atom": -0.76, "m_tot_mub_per_fu": 0.0, "space_group": "C2/m, No. 12", "lattice_angstrom": [[3.7071, -6.4213, 0.0000], [3.7071, 6.4213, 0.0000], [-2.4720, 0.0000, 7.6851]], "species": ["Tb", "Tl", "Tl", "Tl", "Bi", "Bi", "Se", "Se", "Se", "Se", "Se", "Se"], "fractional_positions": [[0.0000, 0.0000, 0.0000], [0.1673, 0.8327, 0.5000], [0.5000, 0.5000, 0.5000], [0.8327, 0.1673, 0.5000], [0.3336, 0.6664, 0.0000], [0.6664, 0.3336, 0.0000], [0.0705, 0.3974, 0.2114], [0.2565, 0.2565, 0.7891], [0.3974, 0.0705, 0.2114], [0.6026, 0.9295, 0.7886], [0.7435, 0.7435, 0.2109], [0.9295, 0.6026, 0.7886]]}


4.
{"formula": "CuTeCl3", "functional": "PBE", "state": "optimized geometry", "formation_energy_uncorrected_ev_per_atom": -0.44, "m_tot_mub_per_fu": 0.0, "space_group": "P-1, No. 2", "lattice_angstrom": [[3.5498, 0.0000, 0.0000], [1.7567, 9.2874, 0.0000], [0.1086, 2.2726, 9.4900]], "species": ["Cu", "Cu", "Te", "Te", "Cl", "Cl", "Cl", "Cl", "Cl", "Cl"], "fractional_positions": [[0.1360, 0.2443, 0.2076], [0.8640, 0.7557, 0.7924], [0.0633, 0.3647, 0.6167], [0.9367, 0.6353, 0.3833], [0.0105, 0.4988, 0.1850], [0.1575, 0.1861, 0.4576], [0.3150, 0.8496, 0.8770], [0.6850, 0.1504, 0.1230], [0.8425, 0.8139, 0.5424], [0.9895, 0.5012, 0.8150]]}


5.
{"formula": "NaSi", "functional": "PBE", "state": "optimized geometry", "formation_energy_uncorrected_ev_per_atom": 0.37, "m_tot_mub_per_fu": 0.0, "space_group": "P4_2/mnm, No. 136", "lattice_angstrom": [[6.0622, 0.0000, 0.0000], [0.0000, 6.0622, 0.0000], [0.0000, 0.0000, 6.2559]], "species": ["Na", "Na", "Na", "Na", "Si", "Si", "Si", "Si"], "fractional_positions": [[0.1738, 0.1738, 0.0000], [0.3262, 0.6738, 0.5000], [0.6738, 0.3262, 0.5000], [0.8262, 0.8262, 0.0000], [0.1265, 0.1265, 0.5000], [0.3735, 0.6265, 0.0000], [0.6265, 0.3735, 0.0000], [0.8735, 0.8735, 0.5000]]}


6.
{"formula": "Li3ZnCu", "functional": "PBE", "state": "optimized geometry", "m_tot_mub_per_fu": 0.0, "formation_energy_ev_per_atom": 0.253, "space_group": "Pm-3m, No. 221", "lattice_angstrom": [[4.6030, 0.0000, 0.0000], [0.0000, 4.6030, 0.0000], [0.0000, 0.0000, 4.6030]], "species": ["Li", "Li", "Li", "Zn", "Cu"], "fractional_positions": [[0.0000, 0.0000, 0.5000], [0.0000, 0.5000, 0.0000], [0.5000, 0.0000, 0.0000], [0.5000, 0.5000, 0.5000], [0.0000, 0.0000, 0.0000]]}